# PBE-GGA MnCr2Mo, optimized geometry
data_MnCr2Mo
_cell_length_a 2.571
_cell_length_b 4.093
_cell_length_c 4.883
_cell_angle_alpha 90.00
_cell_angle_beta 100.12
_cell_angle_gamma 90.00
_symmetry_space_group_name_H-M 'P 1 m 1'
_symmetry_Int_Tables_number 6
_symmetry_space_group_name_Hall 'P -2y'
loop_
_atom_site_label
_atom_site_type_symbol
_atom_site_fract_x
_atom_site_fract_y
_atom_site_fract_z
Mn1 Mn 0.000 0.000 0.000
Cr1 Cr 0.266 0.500 0.760
Cr2 Cr 0.508 0.000 0.529
Mo1 Mo 0.751 0.500 0.261
# energy relative to the elements = 0.105 eV/atom
# energy above the most stable polymorph in this dataset = 17 meV/atom

# PBE-GGA ReAs2Au, optimized geometry
data_ReAs2Au
_cell_length_a 3.039
_cell_length_b 4.900
_cell_length_c 10.074
_cell_angle_alpha 90.00
_cell_angle_beta 90.00
_cell_angle_gamma 90.00
_symmetry_space_group_name_H-M 'C m m 2'
_symmetry_Int_Tables_number 35
_symmetry_space_group_name_Hall 'C 2 -2'
loop_
_atom_site_label
_atom_site_type_symbol
_atom_site_fract_x
_atom_site_fract_y
_atom_site_fract_z
Re1 Re 0.000 0.000 0.000
As1 As 0.000 0.000 0.527
As2 As 0.000 0.500 0.195
Au1 Au 0.000 0.500 0.757
# energy relative to the elements = 0.458 eV/atom
# energy above the most stable polymorph in this dataset = 275 meV/atom

# PBE-GGA Tb3Pm5Sm3, optimized geometry
data_Tb3Pm5Sm3
_cell_length_a 9.7361
_cell_length_b 9.7361
_cell_length_c 5.5459
_cell_angle_alpha 90.00
_cell_angle_beta 90.00
_cell_angle_gamma 120.00
_symmetry_space_group_name_H-M 'P -6 2 m'
_symmetry_Int_Tables_number 189
_symmetry_space_group_name_Hall 'P -6 -2'
loop_
_atom_site_label
_atom_site_type_symbol
_atom_site_fract_x
_atom_site_fract_y
_atom_site_fract_z
Tb1 Tb 0.0000 0.2621 0.0000
Pm1 Pm 0.0000 0.6284 0.0000
Pm2 Pm 0.3333 0.6667 0.0000
Sm1 Sm 0.0000 0.4255 0.5000
# energy relative to the elements = 0.766 eV/atom

# PBE-GGA Cs2ErPu2Se6, optimized geometry
data_Cs2ErPu2Se6
_cell_length_a 7.277
_cell_length_b 12.598
_cell_length_c 8.884
_cell_angle_alpha 90.00
_cell_angle_beta 105.69
_cell_angle_gamma 90.00
_symmetry_space_group_name_H-M 'C 1 2/m 1'
_symmetry_Int_Tables_number 12
_symmetry_space_group_name_Hall '-C 2y'
loop_
_atom_site_label
_atom_site_type_symbol
_atom_site_fract_x
_atom_site_fract_y
_atom_site_fract_z
Cs1 Cs 0.000 0.166 0.000
Er1 Er 0.000 0.000 0.500
Pu1 Pu 0.000 0.334 0.500
Se1 Se 0.226 0.167 0.680
Se2 Se 0.227 0.500 0.680
# energy relative to the elements, uncorrected = -1.524 eV/atom

# PBE-GGA InSb2Se, optimized geometry
data_InSb2Se
_cell_length_a 12.617
_cell_length_b 4.367
_cell_length_c 4.415
_cell_angle_alpha 90.00
_cell_angle_beta 109.12
_cell_angle_gamma 90.00
_symmetry_space_group_name_H-M 'C 1 2/m 1'
_symmetry_Int_Tables_number 12
_symmetry_space_group_name_Hall '-C 2y'
loop_
_atom_site_label
_atom_site_type_symbol
_atom_site_fract_x
_atom_site_fract_y
_atom_site_fract_z
In1 In 0.000 0.000 0.000
Sb1 Sb 0.245 0.500 0.772
Se1 Se 0.000 0.500 0.500
# energy relative to the elements, uncorrected = -0.126 eV/atom
# energy above the most stable polymorph in this dataset = 71 meV/atom

# PBE-GGA Ni2PdPbAu, optimized geometry
data_Ni2PdPbAu
_cell_length_a 4.624
_cell_length_b 4.624
_cell_length_c 5.117
_cell_angle_alpha 90.00
_cell_angle_beta 90.00
_cell_angle_gamma 90.00
_symmetry_space_group_name_H-M 'P 4/m m m'
_symmetry_Int_Tables_number 123
_symmetry_space_group_name_Hall '-P 4 2'
loop_
_atom_site_label
_atom_site_type_symbol
_atom_site_fract_x
_atom_site_fract_y
_atom_site_fract_z
Ni1 Ni 0.000 0.500 0.000
Pd1 Pd 0.000 0.000 0.000
Pb1 Pb 0.500 0.500 0.500
Au1 Au 0.000 0.000 0.500
# energy relative to the elements = 0.780 eV/atom

# PBE-GGA Gd2ZnSn, optimized geometry
data_Gd2ZnSn
_cell_length_a 3.5227
_cell_length_b 3.5227
_cell_length_c 32.4946
_cell_angle_alpha 90.00
_cell_angle_beta 90.00
_cell_angle_gamma 120.00
_symmetry_space_group_name_H-M 'R -3 m'
_symmetry_Int_Tables_number 166
_symmetry_space_group_name_Hall '-R 3 2"'
loop_
_atom_site_label
_atom_site_type_symbol
_atom_site_fract_x
_atom_site_fract_y
_atom_site_fract_z
Gd1 Gd 0.0000 0.0000 0.0971
Zn1 Zn 0.0000 0.0000 0.5000
Sn1 Sn 0.0000 0.0000 0.0000
# energy relative to the elements = -0.009 eV/atom
# energy above the most stable polymorph in this dataset = 521 meV/atom

# PBE-GGA CuIr5, optimized geometry
data_CuIr5
_cell_length_a 5.0797
_cell_length_b 5.0797
_cell_length_c 4.4749
_cell_angle_alpha 90.00
_cell_angle_beta 90.00
_cell_angle_gamma 120.00
_symmetry_space_group_name_H-M 'P 6/m m m'
_symmetry_Int_Tables_number 191
_symmetry_space_group_name_Hall '-P 6 2'
loop_
_atom_site_label
_atom_site_type_symbol
_atom_site_fract_x
_atom_site_fract_y
_atom_site_fract_z
Cu1 Cu 0.0000 0.0000 0.0000
Ir1 Ir 0.0000 0.5000 0.5000
Ir2 Ir 0.3333 0.6667 0.0000
# energy relative to the elements = 0.655 eV/atom
# energy above the most stable polymorph in this dataset = 558 meV/atom

# PBE-GGA AcPr2Er5, optimized geometry
data_AcPr2Er5
_cell_length_a 7.267
_cell_length_b 7.267
_cell_length_c 10.066
_cell_angle_alpha 90.00
_cell_angle_beta 90.00
_cell_angle_gamma 90.00
_symmetry_space_group_name_H-M 'I 4/m m m'
_symmetry_Int_Tables_number 139
_symmetry_space_group_name_Hall '-I 4 2'
loop_
_atom_site_label
_atom_site_type_symbol
_atom_site_fract_x
_atom_site_fract_y
_atom_site_fract_z
Ac1 Ac 0.000 0.000 0.000
Pr1 Pr 0.000 0.500 0.000
Er1 Er 0.000 0.000 0.500
Er2 Er 0.250 0.250 0.250
# energy relative to the elements = 0.032 eV/atom

# PBE-GGA LiAg3Bi, optimized geometry
data_LiAg3Bi
_cell_length_a 4.248
_cell_length_b 22.025
_cell_length_c 4.227
_cell_angle_alpha 90.00
_cell_angle_beta 90.00
_cell_angle_gamma 90.00
_symmetry_space_group_name_H-M 'C m c m'
_symmetry_Int_Tables_number 63
_symmetry_space_group_name_Hall '-C 2c 2'
loop_
_atom_site_label
_atom_site_type_symbol
_atom_site_fract_x
_atom_site_fract_y
_atom_site_fract_z
Li1 Li 0.000 0.149 0.250
Ag1 Ag 0.000 0.046 0.750
Ag2 Ag 0.000 0.250 0.750
Ag3 Ag 0.000 0.453 0.750
Bi1 Bi 0.000 0.350 0.250
# energy relative to the elements = -0.123 eV/atom
# energy above the most stable polymorph in this dataset = 0 meV/atom

# PBE-GGA LaIr3, optimized geometry
data_LaIr3
_cell_length_a 2.8635
_cell_length_b 2.8635
_cell_length_c 9.8087
_cell_angle_alpha 90.00
_cell_angle_beta 90.00
_cell_angle_gamma 120.00
_symmetry_space_group_name_H-M 'P -6 m 2'
_symmetry_Int_Tables_number 187
_symmetry_space_group_name_Hall 'P -6 2'
loop_
_atom_site_label
_atom_site_type_symbol
_atom_site_fract_x
_atom_site_fract_y
_atom_site_fract_z
La1 La 0.0000 0.0000 0.0000
Ir1 Ir 0.0000 0.0000 0.5000
Ir2 Ir 0.6667 0.3333 0.2801
# energy relative to the elements = 0.307 eV/atom

# PBE-GGA TiV2Rh, optimized geometry
data_TiV2Rh
_cell_length_a 6.980
_cell_length_b 6.980
_cell_length_c 5.062
_cell_angle_alpha 90.00
_cell_angle_beta 90.00
_cell_angle_gamma 90.00
_symmetry_space_group_name_H-M 'I -4 2 d'
_symmetry_Int_Tables_number 122
_symmetry_space_group_name_Hall 'I -4 2bw'
loop_
_atom_site_label
_atom_site_type_symbol
_atom_site_fract_x
_atom_site_fract_y
_atom_site_fract_z
Ti1 Ti 0.000 0.000 0.000
V1 V 0.229 0.250 0.625
Rh1 Rh 0.000 0.000 0.500
# energy relative to the elements = 0.187 eV/atom

# PBE-GGA NbRu, optimized geometry
data_NbRu
_cell_length_a 7.2282
_cell_length_b 7.2282
_cell_length_c 4.7168
_cell_angle_alpha 90.00
_cell_angle_beta 90.00
_cell_angle_gamma 120.00
_symmetry_space_group_name_H-M 'P 63/m'
_symmetry_Int_Tables_number 176
_symmetry_space_group_name_Hall '-P 6c'
loop_
_atom_site_label
_atom_site_type_symbol
_atom_site_fract_x
_atom_site_fract_y
_atom_site_fract_z
Nb1 Nb 0.0870 0.2942 0.2500
Ru1 Ru 0.1087 0.4692 0.7500
# energy relative to the elements = 0.186 eV/atom

# PBE-GGA Zr2ScPt, optimized geometry
data_Zr2ScPt
_cell_length_a 6.823
_cell_length_b 6.823
_cell_length_c 6.823
_cell_angle_alpha 90.00
_cell_angle_beta 90.00
_cell_angle_gamma 90.00
_symmetry_space_group_name_H-M 'F m -3 m'
_symmetry_Int_Tables_number 225
_symmetry_space_group_name_Hall '-F 4 2 3'
loop_
_atom_site_label
_atom_site_type_symbol
_atom_site_fract_x
_atom_site_fract_y
_atom_site_fract_z
Zr1 Zr 0.250 0.250 0.250
Sc1 Sc 0.000 0.000 0.000
Pt1 Pt 0.000 0.000 0.500
# energy relative to the elements = -0.369 eV/atom
# energy above the most stable polymorph in this dataset = 210 meV/atom

# PBE-GGA Nd5Bi4, optimized geometry
data_Nd5Bi4
_cell_length_a 10.157
_cell_length_b 10.157
_cell_length_c 6.458
_cell_angle_alpha 90.00
_cell_angle_beta 90.00
_cell_angle_gamma 90.00
_symmetry_space_group_name_H-M 'I 4/m'
_symmetry_Int_Tables_number 87
_symmetry_space_group_name_Hall '-I 4'
loop_
_atom_site_label
_atom_site_type_symbol
_atom_site_fract_x
_atom_site_fract_y
_atom_site_fract_z
Nd1 Nd 0.000 0.000 0.000
Nd2 Nd 0.102 0.703 0.500
Bi1 Bi 0.097 0.700 0.000
# energy relative to the elements = -0.732 eV/atom

# PBE-GGA Ho2AlSi3Pd4, optimized geometry
data_Ho2AlSi3Pd4
_cell_length_a 4.145
_cell_length_b 4.145
_cell_length_c 10.188
_cell_angle_alpha 90.00
_cell_angle_beta 90.00
_cell_angle_gamma 90.00
_symmetry_space_group_name_H-M 'P -4 m 2'
_symmetry_Int_Tables_number 115
_symmetry_space_group_name_Hall 'P -4 -2'
loop_
_atom_site_label
_atom_site_type_symbol
_atom_site_fract_x
_atom_site_fract_y
_atom_site_fract_z
Ho1 Ho 0.000 0.500 0.248
Al1 Al 0.000 0.000 0.500
Si1 Si 0.000 0.500 0.869
Si2 Si 0.500 0.500 0.500
Pd1 Pd 0.000 0.000 0.000
Pd2 Pd 0.000 0.500 0.636
Pd3 Pd 0.500 0.500 0.000
# energy relative to the elements, uncorrected = -0.906 eV/atom

# PBE-GGA Ba2TiRh, optimized geometry
data_Ba2TiRh
_cell_length_a 7.757
_cell_length_b 7.757
_cell_length_c 7.757
_cell_angle_alpha 90.00
_cell_angle_beta 90.00
_cell_angle_gamma 90.00
_symmetry_space_group_name_H-M 'F m -3 m'
_symmetry_Int_Tables_number 225
_symmetry_space_group_name_Hall '-F 4 2 3'
loop_
_atom_site_label
_atom_site_type_symbol
_atom_site_fract_x
_atom_site_fract_y
_atom_site_fract_z
Ba1 Ba 0.250 0.250 0.250
Ti1 Ti 0.000 0.000 0.000
Rh1 Rh 0.000 0.000 0.500
# energy relative to the elements = 0.724 eV/atom
# energy above the most stable polymorph in this dataset = 495 meV/atom

# PBE-GGA Tm3InHg4, optimized geometry
data_Tm3InHg4
_cell_length_a 19.974
_cell_length_b 3.975
_cell_length_c 5.112
_cell_angle_alpha 90.00
_cell_angle_beta 104.69
_cell_angle_gamma 90.00
_symmetry_space_group_name_H-M 'C 1 2/m 1'
_symmetry_Int_Tables_number 12
_symmetry_space_group_name_Hall '-C 2y'
loop_
_atom_site_label
_atom_site_type_symbol
_atom_site_fract_x
_atom_site_fract_y
_atom_site_fract_z
Tm1 Tm 0.000 0.000 0.000
Tm2 Tm 0.138 0.000 0.637
In1 In 0.000 0.500 0.500
Hg1 Hg 0.118 0.500 0.117
Hg2 Hg 0.240 0.000 0.240
# energy relative to the elements = -0.375 eV/atom
# energy above the most stable polymorph in this dataset = 36 meV/atom

# PBE-GGA Ce2SmCd2Hg2, optimized geometry
data_Ce2SmCd2Hg2
_cell_length_a 4.8885
_cell_length_b 4.8885
_cell_length_c 26.2821
_cell_angle_alpha 90.00
_cell_angle_beta 90.00
_cell_angle_gamma 120.00
_symmetry_space_group_name_H-M 'R -3 m'
_symmetry_Int_Tables_number 166
_symmetry_space_group_name_Hall '-R 3 2"'
loop_
_atom_site_label
_atom_site_type_symbol
_atom_site_fract_x
_atom_site_fract_y
_atom_site_fract_z
Ce1 Ce 0.0000 0.0000 0.1383
Sm1 Sm 0.0000 0.0000 0.0000
Cd1 Cd 0.0000 0.0000 0.2664
Hg1 Hg 0.0000 0.0000 0.4042
# energy relative to the elements = -0.197 eV/atom

# PBE-GGA PaSbRh, optimized geometry
data_PaSbRh
_cell_length_a 4.4352
_cell_length_b 4.4352
_cell_length_c 3.9215
_cell_angle_alpha 90.00
_cell_angle_beta 90.00
_cell_angle_gamma 120.00
_symmetry_space_group_name_H-M 'P 3 m 1'
_symmetry_Int_Tables_number 156
_symmetry_space_group_name_Hall 'P 3 -2"'
loop_
_atom_site_label
_atom_site_type_symbol
_atom_site_fract_x
_atom_site_fract_y
_atom_site_fract_z
Pa1 Pa 0.0000 0.0000 0.0000
Sb1 Sb 0.6667 0.3333 0.5245
Rh1 Rh 0.3333 0.6667 0.3770
# energy relative to the elements, uncorrected = -0.725 eV/atom

Computed DFT total energy, in the same sequence as the records: -9.71; -5.80; -3.94; -6.60; -3.74; -3.97; -8.37; -7.41; -4.53; -2.99; -7.57; -8.18; -9.49; -7.74; -5.11; -5.90; -4.05; -2.55; -2.91; -7.71 eV/atom.